{
  "formula": "Be2SbCl",
  "functional": "PBE-GGA",
  "state": "optimized geometry",
  "lattice_angstrom": [[6.1206, -0.0516, 0.0877], [0.7073, 6.0798, -0.0877], [-1.3884, -5.3084, 2.7140]],
  "species": ["Sb", "Be", "Be", "Cl"],
  "fractional_positions": [[0.1975, 0.6975, 0.5000], [0.9570, 0.9570, 0.0000], [0.7495, 0.2495, 0.5000], [0.5960, 0.5960, 0.0000]],
  "space_group": "Imm2, No. 44",
  "de_polymorph_ev_per_fu": 1.82,
  "density_g_cm3": 2.95,
  "magnetic_moment_mub_per_fu": 0.000,
  "formation_energy_uncorrected_mev_per_atom": 299
}

{
  "formula": "BeSb2Cl",
  "functional": "PBE-GGA",
  "state": "optimized geometry",
  "lattice_angstrom": [[3.8977, -0.0003, -0.0610], [1.9438, 3.3785, -0.0610], [1.5196, 0.8788, 7.0356]],
  "species": ["Be", "Sb", "Sb", "Cl"],
  "fractional_positions": [[0.2500, 0.2500, 0.2500], [0.9473, 0.9473, 0.0735], [0.5527, 0.5527, 0.4265], [0.7500, 0.7500, 0.7500]],
  "space_group": "C2/m, No. 12",
  "de_polymorph_ev_per_fu": 0.46,
  "density_g_cm3": 5.14,
  "magnetic_moment_mub_per_fu": 0.000,
  "formation_energy_uncorrected_mev_per_atom": -28
}